# GGA-PBE Sr2HPd, optimized geometry
# Total energy = -3.293 eV per atom
# E above lowest polymorph = 69 meV/atom
# Calculated volume = 27.267 A^3/atom
# Magnetic moment = 0.0 μB/cell
data_Sr2HPd
_chemical_formula_sum 'Sr6 H3 Pd3'
_cell_length_a 4.1222
_cell_length_b 4.1222
_cell_length_c 22.2342
_cell_angle_alpha 90.00
_cell_angle_beta 90.00
_cell_angle_gamma 120.00
_symmetry_space_group_name_H-M 'R 3 m'
_symmetry_Int_Tables_number 160
_symmetry_space_group_name_Hall 'R 3 -2"'
loop_
_atom_site_label
_atom_site_type_symbol
_atom_site_fract_x
_atom_site_fract_y
_atom_site_fract_z
Sr1 Sr 0.0000 0.0000 0.0000
Sr2 Sr 0.0000 0.0000 0.1699
H1 H 0.0000 0.0000 0.7535
Pd1 Pd 0.0000 0.0000 0.5851

# GGA-PBE SiAg2SnAu, optimized geometry
# Total energy = -3.208 eV per atom
# Calculated volume = 24.947 A^3/atom
# Formation energy from raw total energies = 0.473 eV per atom
# Magnetic moment = 0.0 μB/cell
data_SiAg2SnAu
_chemical_formula_sum 'Si1 Ag2 Sn1 Au1'
_cell_length_a 5.229
_cell_length_b 5.229
_cell_length_c 4.562
_cell_angle_alpha 90.00
_cell_angle_beta 90.00
_cell_angle_gamma 90.00
_symmetry_space_group_name_H-M 'P 4/m m m'
_symmetry_Int_Tables_number 123
_symmetry_space_group_name_Hall '-P 4 2'
loop_
_atom_site_label
_atom_site_type_symbol
_atom_site_fract_x
_atom_site_fract_y
_atom_site_fract_z
Si1 Si 0.000 0.000 0.000
Ag1 Ag 0.000 0.500 0.500
Sn1 Sn 0.500 0.500 0.000
Au1 Au 0.000 0.000 0.500

# GGA-PBE ZrCrCo, optimized geometry
# Total energy = -8.458 eV per atom
# Formation energy from the elements = -0.032 eV/atom
# E above lowest polymorph = 145 meV/atom
# Calculated volume = 14.864 A^3/atom
# Magnetic moment = 0.0 μB/cell
data_ZrCrCo
_chemical_formula_sum 'Zr4 Cr4 Co4'
_cell_length_a 2.988
_cell_length_b 14.647
_cell_length_c 4.076
_cell_angle_alpha 90.00
_cell_angle_beta 90.00
_cell_angle_gamma 90.00
_symmetry_space_group_name_H-M 'C m c m'
_symmetry_Int_Tables_number 63
_symmetry_space_group_name_Hall '-C 2c 2'
loop_
_atom_site_label
_atom_site_type_symbol
_atom_site_fract_x
_atom_site_fract_y
_atom_site_fract_z
Zr1 Zr 0.000 0.082 0.250
Cr1 Cr 0.000 0.248 0.750
Co1 Co 0.000 0.378 0.250

# GGA-PBE PmTh2V, optimized geometry
# Total energy = -6.541 eV per atom
# Formation energy from the elements = 0.637 eV/atom
# Calculated volume = 29.099 A^3/atom
# Magnetic moment = 6.5 μB/cell
data_PmTh2V
_chemical_formula_sum 'Pm3 Th6 V3'
_cell_length_a 3.4057
_cell_length_b 3.4057
_cell_length_c 34.7630
_cell_angle_alpha 90.00
_cell_angle_beta 90.00
_cell_angle_gamma 120.00
_symmetry_space_group_name_H-M 'R -3 m'
_symmetry_Int_Tables_number 166
_symmetry_space_group_name_Hall '-R 3 2"'
loop_
_atom_site_label
_atom_site_type_symbol
_atom_site_fract_x
_atom_site_fract_y
_atom_site_fract_z
Pm1 Pm 0.0000 0.0000 0.0000
Th1 Th 0.0000 0.0000 0.4224
V1 V 0.0000 0.0000 0.5000

# GGA-PBE NaDyIn4Se8, optimized geometry
# Total energy = -3.993 eV per atom
# Calculated volume = 28.649 A^3/atom
# Formation energy from raw total energies = -0.797 eV per atom
# Magnetic moment = 0.0 μB/cell
data_NaDyIn4Se8
_chemical_formula_sum 'Na3 Dy3 In12 Se24'
_cell_length_a 8.2343
_cell_length_b 8.2343
_cell_length_c 20.4913
_cell_angle_alpha 90.00
_cell_angle_beta 90.00
_cell_angle_gamma 120.00
_symmetry_space_group_name_H-M 'R 3 m'
_symmetry_Int_Tables_number 160
_symmetry_space_group_name_Hall 'R 3 -2"'
loop_
_atom_site_label
_atom_site_type_symbol
_atom_site_fract_x
_atom_site_fract_y
_atom_site_fract_z
Na1 Na 0.0000 0.0000 0.0000
Dy1 Dy 0.0000 0.0000 0.3611
In1 In 0.0000 0.0000 0.7471
In2 In 0.0172 0.5086 0.8735
Se1 Se 0.0000 0.0000 0.1327
Se2 Se 0.0000 0.0000 0.6099
Se3 Se 0.0231 0.5116 0.1234
Se4 Se 0.1744 0.3489 0.9471

The highest total energy belongs to which entry? SiAg2SnAu